A relaxed structure of ZnBi2PtI, computed with PBE.

```
ZnBi2PtI
1.0
5.521 0.000 0.000
0.000 5.521 0.000
0.000 0.000 4.932
Zn Bi Pt I
1 2 1 1
direct
0.000 0.000 0.000
0.000 0.500 0.500
0.500 0.000 0.500
0.000 0.000 0.500
0.500 0.500 0.000
```

D(E_F), states/eV per atom: 0.724
Volume, Å³/atom: 30.06
Space-group type: P4/mmm (123)
Formation energy (no corrections), eV per formula unit: 0.35